Entry 1:
DFT (meta-GGA SCAN) results for SrCo2Cu at its PBEsol-relaxed geometry.

## Properties
DFT formation energy	0.861	eV per atom

abc: 5.3801 8.0796 2.7918
angles: 90.00 90.00 90.00
Last column: nearest neighbours and their distance in Å.
Space group Cmmm (No. 65)
Unique sites:
Sr (0.0000, 0.0000, 0.0000) [2 per cell]  2 Cu 2.69, 2 Sr 2.79, 8 Co 2.80
Co (0.2500, 0.2500, 0.5000) [4 per cell]  4 Co 2.69-2.79, 4 Cu 2.80, 4 Sr 2.80
Cu (0.0000, 0.5000, 0.0000) [2 per cell]  2 Sr 2.69, 2 Cu 2.79, 8 Co 2.80


Entry 2:
DFT (meta-GGA SCAN) results for Tl2AgRu at its PBEsol-relaxed geometry.

## Properties
DFT formation energy	0.553	eV per atom

abc: 3.3778 3.9441 5.7792
angles: 90.00 90.00 90.00
Last column: nearest neighbours and their distance in Å.
Space group Pmm2 (No. 25)
Unique sites:
Tl (0.0000, 0.0000, 0.0000) [1 per cell]  1 Ag 2.68, 4 Ru 2.82
Tl (0.5000, 0.5000, 0.3228) [1 per cell]  2 Ru 2.82-2.96, 4 Ag 2.87
Ag (0.0000, 0.0000, 0.5364) [1 per cell]  5 Tl 2.68-2.87
Ru (0.5000, 0.5000, 0.8110) [1 per cell]  6 Tl 2.82-2.96, 4 Ag 3.04


Entry 3:
DFT (meta-GGA SCAN) results for ZrPH2Pb at its PBEsol-relaxed geometry.

## Properties
electronic total energy	-123.6	eV/cell

abc: 3.7150 3.7150 6.2789
angles: 90.00 90.00 90.00
Last column: nearest neighbours and their distance in Å.
Space group P4/mmm (No. 123)
Unique sites:
Zr (0.0000, 0.0000, 0.0000) [1 per cell]  4 P 2.63
P (0.5000, 0.5000, 0.0000) [1 per cell]  4 Zr 2.63
H (0.0000, 0.5000, 0.5000) [2 per cell]  2 Pb 1.86
Pb (0.0000, 0.0000, 0.5000) [1 per cell]  4 H 1.86